# 1
{
  "formula": "TcP2W",
  "functional": "PBE",
  "state": "relaxed",
  "lattice": [[-0.070, 3.180, -2.935], [-2.502, -0.353, -3.514], [-3.517, 2.489, -0.411]],
  "species": ["P", "P", "W", "Tc"],
  "frac_coords": [[0.000, 0.000, 0.000], [0.250, 0.250, 0.250], [0.750, 0.750, 0.750], [0.500, 0.500, 0.500]],
  "vol_a3_per_cell": 57.3,
  "de_polymorph_mev_per_atom": 849,
  "space_group": "F-43m"
}



# 2
{
  "formula": "La3Tb2Cd",
  "functional": "PBE",
  "state": "relaxed",
  "lattice": [[3.746, 0.000, 0.000], [0.000, 3.746, 0.000], [0.000, 0.000, 14.293]],
  "species": ["Cd", "La", "La", "La", "Tb", "Tb"],
  "frac_coords": [[0.500, 0.500, 0.500], [0.000, 0.000, 0.649], [0.000, 0.000, 0.000], [0.000, 0.000, 0.351], [0.500, 0.500, 0.827], [0.500, 0.500, 0.173]],
  "vol_a3_per_cell": 200.5,
  "e_tot_ev_per_atom": -4.24,
  "space_group": "P4/mmm"
}



# 3
{
  "formula": "P2PbBr",
  "functional": "PBE",
  "state": "relaxed",
  "lattice": [[-2.209, 2.440, 1.047], [-2.883, -2.957, 0.807], [2.013, -1.409, 7.532]],
  "species": ["P", "P", "Pb", "Br"],
  "frac_coords": [[0.500, 0.292, 0.143], [0.000, 0.965, 0.195], [0.000, 0.392, 0.478], [0.500, 0.851, 0.684]],
  "vol_a3_per_cell": 114.1,
  "formation_energy_uncorrected_ev_per_atom": -0.131,
  "de_polymorph_mev_per_atom": 0,
  "space_group": "Pm"
}